LaTeOF2 | PBE-GGA | relaxed

CIF file:
```
data_LaTeOF2
_chemical_formula_sum 'La1 Te1 O1 F2'
_space_group_name_H-M_alt 'P 4/m m m'
_space_group_IT_number 123
_space_group_name_Hall '-P 4 2'
_cell_length_a 4.928
_cell_length_b 4.928
_cell_length_c 4.151
_cell_angle_alpha 90.00
_cell_angle_beta 90.00
_cell_angle_gamma 90.00
loop_
_atom_site_label
_atom_site_type_symbol
_atom_site_fract_x
_atom_site_fract_y
_atom_site_fract_z
_atom_site_occupancy
La1 La 0.000 0.000 0.000 1
Te1 Te 0.500 0.500 0.500 1
O1 O 0.500 0.500 0.000 1
F1 F 0.000 0.500 0.500 1
```

Results
Its energy above the most stable polymorph in this dataset is 18.69 kcal/mol of atoms. The total energy comes out at -23.8 eV/cell. The calculation puts the raw formation energy at -1.4105 eV/atom.



LaTeOF2 | PBE-GGA | relaxed

CIF file:
```
data_LaTeOF2
_chemical_formula_sum 'La1 Te1 O1 F2'
_space_group_name_H-M_alt 'P 4/m m m'
_space_group_IT_number 123
_space_group_name_Hall '-P 4 2'
_cell_length_a 4.622
_cell_length_b 4.622
_cell_length_c 4.900
_cell_angle_alpha 90.00
_cell_angle_beta 90.00
_cell_angle_gamma 90.00
loop_
_atom_site_label
_atom_site_type_symbol
_atom_site_fract_x
_atom_site_fract_y
_atom_site_fract_z
_atom_site_occupancy
La1 La 0.000 0.000 0.000 1
Te1 Te 0.500 0.500 0.500 1
O1 O 0.000 0.000 0.500 1
F1 F 0.000 0.500 0.000 1
```

Results
Its energy above the most stable polymorph in this dataset is 0.00 kcal/mol of atoms. The total energy comes out at -27.9 eV/cell. The calculation puts the raw formation energy at -2.2209 eV/atom.



LaTlOF2 | PBE-GGA | relaxed

CIF file:
```
data_LaTlOF2
_chemical_formula_sum 'La1 Tl1 O1 F2'
_space_group_name_H-M_alt 'P 4/m m m'
_space_group_IT_number 123
_space_group_name_Hall '-P 4 2'
_cell_length_a 4.810
_cell_length_b 4.810
_cell_length_c 4.587
_cell_angle_alpha 90.00
_cell_angle_beta 90.00
_cell_angle_gamma 90.00
loop_
_atom_site_label
_atom_site_type_symbol
_atom_site_fract_x
_atom_site_fract_y
_atom_site_fract_z
_atom_site_occupancy
La1 La 0.000 0.000 0.000 1
Tl1 Tl 0.500 0.500 0.500 1
O1 O 0.000 0.000 0.500 1
F1 F 0.000 0.500 0.000 1
```

Results
Its energy above the most stable polymorph in this dataset is 0.00 kcal/mol of atoms. The total energy comes out at -30.3 eV/cell. The calculation puts the raw formation energy at -2.8530 eV/atom.



LaTlOF2 | PBE-GGA | relaxed

CIF file:
```
data_LaTlOF2
_chemical_formula_sum 'La1 Tl1 O1 F2'
_space_group_name_H-M_alt 'P 4/m m m'
_space_group_IT_number 123
_space_group_name_Hall '-P 4 2'
_cell_length_a 4.737
_cell_length_b 4.737
_cell_length_c 4.414
_cell_angle_alpha 90.00
_cell_angle_beta 90.00
_cell_angle_gamma 90.00
loop_
_atom_site_label
_atom_site_type_symbol
_atom_site_fract_x
_atom_site_fract_y
_atom_site_fract_z
_atom_site_occupancy
La1 La 0.000 0.000 0.000 1
Tl1 Tl 0.500 0.500 0.500 1
O1 O 0.500 0.500 0.000 1
F1 F 0.000 0.500 0.500 1
```

Results
Its energy above the most stable polymorph in this dataset is 27.22 kcal/mol of atoms. The total energy comes out at -24.4 eV/cell. The calculation puts the raw formation energy at -1.6726 eV/atom.